{"formula": "Pm2Bi2H", "functional": "PBE", "state": "relaxed", "cell": [[4.470, 0.000, 0.000], [0.000, 6.473, 0.000], [-2.235, 0.000, 9.507]], "species": ["Bi", "Bi", "Bi", "Bi", "Pm", "Pm", "Pm", "Pm", "H", "H"], "frac_coords": [[0.994, 0.804, 0.988], [0.006, 0.304, 0.012], [0.787, 0.035, 0.574], [0.213, 0.535, 0.426], [0.593, 0.582, 0.185], [0.407, 0.082, 0.815], [0.163, 0.027, 0.326], [0.837, 0.527, 0.674], [0.627, 0.918, 0.253], [0.373, 0.418, 0.747]], "spacegroup": "No. 36", "final_energy_ev_per_atom": -4.799}

***

{"formula": "Ta2TiN", "functional": "PBE", "state": "relaxed", "cell": [[-2.068, 2.192, 0.373], [-1.679, -2.175, 3.466], [5.489, 4.271, 5.338]], "species": ["Ta", "Ta", "Ta", "Ta", "Ti", "Ti", "N", "N"], "frac_coords": [[0.357, 0.750, 0.582], [0.643, 0.250, 0.082], [0.643, 0.250, 0.418], [0.357, 0.750, 0.918], [0.897, 0.250, 0.750], [0.103, 0.750, 0.250], [0.151, 0.250, 0.250], [0.849, 0.750, 0.750]], "spacegroup": "No. 59", "final_energy_ev_per_atom": -10.719, "raw_formation_energy_ev_per_atom": -0.74}

***

{"formula": "Na2Pu2Au3", "functional": "PBE", "state": "relaxed", "cell": [[3.656, 0.000, 0.485], [0.000, 3.307, 0.000], [-0.083, 0.000, 14.642]], "species": ["Au", "Au", "Au", "Na", "Na", "Pu", "Pu"], "frac_coords": [[0.000, 0.000, 0.000], [0.132, 0.000, 0.735], [0.868, 0.000, 0.265], [0.303, 0.500, 0.393], [0.697, 0.500, 0.607], [0.432, 0.500, 0.135], [0.568, 0.500, 0.865]], "spacegroup": "No. 65", "final_energy_ev_per_atom": -6.192}

***

{"formula": "RuPt7", "functional": "PBE", "state": "relaxed", "cell": [[5.592, 0.000, 0.000], [2.796, 4.842, 0.000], [2.796, 1.614, 4.565]], "species": ["Pt", "Pt", "Pt", "Pt", "Pt", "Pt", "Pt", "Ru"], "frac_coords": [[0.500, 0.000, 0.000], [0.500, 0.500, 0.000], [0.000, 0.000, 0.500], [0.500, 0.500, 0.500], [0.000, 0.500, 0.500], [0.500, 0.000, 0.500], [0.000, 0.500, 0.000], [0.000, 0.000, 0.000]], "spacegroup": "No. 225", "final_energy_ev_per_atom": -6.424}

***

{"formula": "SmEuTm2", "functional": "PBE", "state": "relaxed", "cell": [[-2.731, 1.708, 1.642], [-2.224, -2.712, -0.879], [2.303, -4.722, 8.741]], "species": ["Tm", "Tm", "Eu", "Sm"], "frac_coords": [[0.000, 0.000, 0.236], [0.000, 0.000, 0.764], [0.500, 0.500, 0.500], [0.500, 0.500, 0.000]], "spacegroup": "No. 123", "final_energy_ev_per_atom": -5.913, "polymorph_energy_ev_per_atom": 0.000}

***

{"formula": "LiPmSiSn", "functional": "PBE", "state": "relaxed", "cell": [[5.073, 0.000, 0.000], [2.536, 4.393, 0.000], [2.536, 1.464, 4.142]], "species": ["Sn", "Si", "Li", "Pm"], "frac_coords": [[0.750, 0.750, 0.750], [0.250, 0.250, 0.250], [0.500, 0.500, 0.500], [0.000, 0.000, 0.000]], "spacegroup": "No. 216", "final_energy_ev_per_atom": -4.264, "raw_formation_energy_ev_per_atom": -0.24}

***

{"formula": "RbPa2Br8", "functional": "PBE", "state": "relaxed", "cell": [[-6.371, 2.416, 6.771], [-3.391, -3.473, -6.342], [0.482, -7.893, -1.121]], "species": ["Pa", "Pa", "Br", "Br", "Br", "Br", "Br", "Br", "Br", "Br", "Rb"], "frac_coords": [[0.488, 0.748, 0.748], [0.512, 0.252, 0.252], [0.243, 0.276, 0.276], [0.638, 0.167, 0.676], [0.362, 0.833, 0.324], [0.638, 0.676, 0.167], [0.220, 0.771, 0.771], [0.362, 0.324, 0.833], [0.780, 0.229, 0.229], [0.757, 0.724, 0.724], [0.000, 0.000, 0.000]], "spacegroup": "No. 12", "final_energy_ev_per_atom": -4.479, "raw_formation_energy_ev_per_atom": -1.45, "polymorph_energy_ev_per_atom": 0.000}

***

{"formula": "Zr2ZnSi", "functional": "PBE", "state": "relaxed", "cell": [[4.966, 0.004, 0.000], [1.231, 4.811, 0.000], [-3.099, -2.407, 3.044]], "species": ["Zn", "Zr", "Zr", "Si"], "frac_coords": [[0.750, 0.250, 0.500], [0.500, 0.500, 0.000], [0.000, 0.000, 0.000], [0.250, 0.750, 0.500]], "spacegroup": "No. 139", "final_energy_ev_per_atom": -6.376, "raw_formation_energy_ev_per_atom": -0.43}